Computed, not measured: a relaxed structure of Ho5Cd2RuRh2 at the PBE level of DFT.

Cell lengths 3.5309, 11.5159, 11.5159 Å; angles 90.00, 90.00, 90.00 degrees
Last column: nearest neighbours and their distance in Å.
Sites, in units of the cell vectors:
Ho  0.5000  0.0000  0.5000  4 Rh 2.78
Cd  0.0000  0.3220  0.8220  1 Rh 3.10, 6 Ho 3.39-3.43
Rh  0.0000  0.1319  0.6319  6 Ho 2.77-2.78, 1 Cd 3.10
Ho  0.5000  0.5676  0.6945  2 Rh 2.77, 2 Ru 2.96
Ho  0.5000  0.0676  0.8055  2 Rh 2.77, 2 Ru 2.96
Ho  0.5000  0.5000  0.0000  4 Rh 2.78
Ho  0.5000  0.1945  0.0676  2 Rh 2.77, 2 Ru 2.96
Cd  0.0000  0.8220  0.6780  1 Rh 3.10, 6 Ho 3.39-3.43
Ho  0.5000  0.8055  0.9324  2 Rh 2.77, 2 Ru 2.96
Rh  0.0000  0.3681  0.1319  6 Ho 2.77-2.78, 1 Cd 3.10
Ho  0.5000  0.4324  0.3055  2 Rh 2.77, 2 Ru 2.96
Ru  0.0000  0.0000  0.0000  8 Ho 2.96
Ho  0.5000  0.6945  0.4324  2 Rh 2.77, 2 Ru 2.96
Rh  0.0000  0.8681  0.3681  6 Ho 2.77-2.78, 1 Cd 3.10
Rh  0.0000  0.6319  0.8681  6 Ho 2.77-2.78, 1 Cd 3.10
Ho  0.5000  0.9324  0.1945  2 Rh 2.77, 2 Ru 2.96
Ho  0.5000  0.3055  0.5676  2 Rh 2.77, 2 Ru 2.96
Cd  0.0000  0.6780  0.1780  1 Rh 3.10, 6 Ho 3.39-3.43
Ru  0.0000  0.5000  0.5000  8 Ho 2.96
Cd  0.0000  0.1780  0.3220  1 Rh 3.10, 6 Ho 3.39-3.43

- DFT formation energy: -481 kJ/mol of formula units

***

Computed, not measured: a relaxed structure of Th2Zn9Ni3 at the PBE level of DFT.

Cell lengths 7.6537, 7.6537, 10.2853 Å; angles 89.59, 110.25, 122.98 degrees
Last column: nearest neighbours and their distance in Å.
Sites, in units of the cell vectors:
Th  0.6427  0.7402  0.2355  11 Zn 3.03-3.22, 3 Ni 3.04-3.39
Zn  0.8060  0.3041  0.9337  3 Ni 2.55-2.60, 4 Zn 2.63-2.71
Zn  0.8679  0.0180  0.0395  4 Zn 2.56-2.72, 3 Ni 2.63-2.74
Th  0.0047  0.4072  0.2645  11 Zn 3.03-3.22, 3 Ni 3.04-3.39
Zn  0.1321  0.9820  0.9605  4 Zn 2.56-2.72, 3 Ni 2.63-2.74
Zn  0.1297  0.1277  0.4337  3 Ni 2.55-2.60, 4 Zn 2.63-2.71
Zn  0.2574  0.5490  0.5898  3 Ni 2.53-2.63, 3 Zn 2.60-2.68
Ni  0.5000  0.0000  0.0000  8 Zn 2.53-2.63
Zn  0.7426  0.4510  0.4102  3 Ni 2.53-2.63, 3 Zn 2.60-2.68
Ni  0.8663  0.1948  0.4956  8 Zn 2.54-2.74
Zn  0.6976  0.7321  0.7583  2 Ni 2.55-2.62, 5 Zn 2.65-2.72
Zn  0.4739  0.9393  0.7417  2 Ni 2.55-2.62, 5 Zn 2.65-2.72
Th  0.3573  0.2598  0.7645  11 Zn 3.03-3.22, 3 Ni 3.04-3.39
Zn  0.4593  0.6677  0.9102  3 Ni 2.53-2.63, 3 Zn 2.60-2.68
Ni  0.1337  0.8052  0.5044  8 Zn 2.54-2.74
Zn  0.3024  0.2679  0.2417  2 Ni 2.55-2.62, 5 Zn 2.65-2.72
Ni  0.5000  0.5000  0.5000  8 Zn 2.53-2.63
Zn  0.1008  0.8508  0.2500  2 Ni 2.58, 4 Zn 2.70-2.71
Zn  0.8703  0.8723  0.5663  3 Ni 2.55-2.60, 4 Zn 2.63-2.71
Zn  0.8992  0.1492  0.7500  2 Ni 2.58, 4 Zn 2.70-2.71
Zn  0.4786  0.8285  0.4605  4 Zn 2.56-2.72, 3 Ni 2.63-2.74
Ni  0.8008  0.6292  0.9956  8 Zn 2.54-2.74
Ni  0.1992  0.3708  0.0044  8 Zn 2.54-2.74
Zn  0.5407  0.3323  0.0898  3 Ni 2.53-2.63, 3 Zn 2.60-2.68
Zn  0.5261  0.0607  0.2583  2 Ni 2.55-2.62, 5 Zn 2.65-2.72
Zn  0.1940  0.6959  0.0663  3 Ni 2.55-2.60, 4 Zn 2.63-2.71
Th  0.9953  0.5928  0.7355  11 Zn 3.03-3.22, 3 Ni 3.04-3.39
Zn  0.5214  0.1715  0.5395  4 Zn 2.56-2.72, 3 Ni 2.63-2.74

- DFT formation energy: -355 kJ/mol of formula units

***

Computed, not measured: a relaxed structure of Y2ZrMnTc at the PBE level of DFT.

Cell lengths 5.1556, 4.4140, 5.1556 Å; angles 90.00, 90.00, 90.00 degrees
Last column: nearest neighbours and their distance in Å.
Sites, in units of the cell vectors:
Y  0.5000  0.0000  0.0000  2 Mn 2.58
Tc  0.0000  0.5000  0.0000  2 Mn 2.21
Y  0.0000  0.0000  0.5000  2 Mn 2.58
Zr  0.5000  0.5000  0.5000  8 Y 3.39, 4 Tc 3.65
Mn  0.0000  0.0000  0.0000  2 Tc 2.21

- DFT formation energy: 276 kJ/mol of formula units

***

Computed, not measured: a relaxed structure of Pm4Sn2H at the PBE level of DFT.

Cell lengths 6.4446, 6.6284, 9.4580 Å; angles 90.00, 109.75, 90.00 degrees
Last column: nearest neighbours and their distance in Å.
Sites, in units of the cell vectors:
Sn  0.3127  0.2500  0.9661  9 Pm 3.17-3.51, 1 H 3.48
Pm  0.9337  0.2500  0.6477  1 H 2.31
Pm  0.1241  0.7500  0.9393  1 H 2.32
Sn  0.8317  0.7500  0.5962  8 Pm 3.15-3.38
Pm  0.0663  0.7500  0.3523  1 H 2.31
Sn  0.6873  0.7500  0.0339  9 Pm 3.17-3.51, 1 H 3.48
Sn  0.1683  0.2500  0.4038  8 Pm 3.15-3.38
Pm  0.4663  0.5004  0.7103  1 H 2.28
H  0.7201  0.2500  0.8011  4 Pm 2.28-2.32
Pm  0.5337  0.0004  0.2897  1 H 2.28
H  0.2799  0.7500  0.1989  4 Pm 2.28-2.32
Pm  0.8759  0.2500  0.0607  1 H 2.32
Pm  0.5337  0.4996  0.2897  1 H 2.28
Pm  0.4663  0.9996  0.7103  1 H 2.28

- Offset from the most stable computed form: 6.0 meV per atom

***

Computed, not measured: a relaxed structure of Ac2Cd3Ag at the PBE level of DFT.

Cell lengths 3.8378, 5.1309, 8.8604 Å; angles 90.00, 90.00, 90.00 degrees
Last column: nearest neighbours and their distance in Å.
Sites, in units of the cell vectors:
Cd  0.5000  0.0000  0.8313  3 Cd 2.96-2.98
Ac  0.0000  0.0000  0.4927  8 Cd 3.46-3.56, 4 Ag 3.50, 2 Ac 3.84
Ac  0.0000  0.5000  0.0087  2 Ag 3.47, 10 Cd 3.50-3.60, 2 Ac 3.84
Cd  0.5000  0.5000  0.6655  1 Ag 2.93, 2 Cd 2.96
Cd  0.5000  0.0000  0.1674  2 Ag 2.96, 1 Cd 2.98
Ag  0.5000  0.5000  0.3344  3 Cd 2.93-2.96

- DFT formation energy: -186 kJ/mol of formula units

***

Computed, not measured: a relaxed structure of Tb2YAl2 at the PBE level of DFT.

Cell lengths 3.5905, 5.6232, 13.4635 Å; angles 95.90, 90.00, 90.00 degrees
Last column: nearest neighbours and their distance in Å.
Sites, in units of the cell vectors:
Al  0.7500  0.2089  0.3401  5 Tb 3.06-3.26
Tb  0.7500  0.7411  0.4618  4 Al 3.20-3.26, 4 Tb 3.48-3.49, 2 Y 3.52
Tb  0.2500  0.8471  0.8881  5 Al 2.88-3.06
Y  0.7500  0.3180  0.7644  2 Al 3.12
Tb  0.7500  0.1529  0.1119  5 Al 2.88-3.06
Al  0.7500  0.6495  0.0447  2 Al 2.66, 1 Tb 2.88
Al  0.2500  0.7911  0.6599  5 Tb 3.06-3.26
Tb  0.2500  0.2589  0.5382  4 Al 3.20-3.26, 4 Tb 3.48-3.49, 2 Y 3.52
Al  0.2500  0.3505  0.9553  2 Al 2.66, 1 Tb 2.88
Y  0.2500  0.6820  0.2356  2 Al 3.12

- Offset from the most stable computed form: 187.8 meV per atom
- DFT formation energy: -65 kJ/mol of formula units

***

Computed, not measured: a relaxed structure of PuZr2Sc3 at the PBE level of DFT.

Cell lengths 4.6194, 4.5287, 13.6169 Å; angles 90.00, 90.00, 90.00 degrees
Last column: nearest neighbours and their distance in Å.
Sites, in units of the cell vectors:
Pu  0.0000  0.0335  0.9140  2 Zr 3.18, 8 Sc 3.23-3.29, 2 Pu 3.26
Zr  0.0000  0.5335  0.7505  2 Pu 3.18, 8 Sc 3.20-3.23, 2 Zr 3.29
Zr  0.5000  0.0336  0.4212  4 Zr 3.12-3.29, 8 Sc 3.19-3.24
Sc  0.0000  0.5336  0.4175  8 Zr 3.19-3.23, 4 Sc 3.19-3.23
Sc  0.0000  0.0336  0.5825  8 Zr 3.19-3.23, 4 Sc 3.19-3.23
Sc  0.5000  0.0335  0.0866  4 Sc 3.19-3.27, 2 Zr 3.20, 6 Pu 3.23-3.29
Sc  0.5000  0.5336  0.2515  4 Sc 3.19-3.23, 2 Pu 3.23, 6 Zr 3.23-3.24
Zr  0.0000  0.0335  0.2495  2 Pu 3.18, 8 Sc 3.20-3.23, 2 Zr 3.29
Pu  0.0000  0.5335  0.0860  2 Zr 3.18, 8 Sc 3.23-3.29, 2 Pu 3.26
Sc  0.5000  0.5335  0.9134  4 Sc 3.19-3.27, 2 Zr 3.20, 6 Pu 3.23-3.29
Sc  0.5000  0.0336  0.7485  4 Sc 3.19-3.23, 2 Pu 3.23, 6 Zr 3.23-3.24
Zr  0.5000  0.5336  0.5788  4 Zr 3.12-3.29, 8 Sc 3.19-3.24

- Offset from the most stable computed form: 0.0 meV per atom
- DFT formation energy: 30 kJ/mol of formula units

***

Computed, not measured: a relaxed structure of Tm11Pt4Pb9 at the PBE level of DFT.

Cell lengths 3.7690, 13.2332, 13.2332 Å; angles 111.63, 90.00, 90.00 degrees
Last column: nearest neighbours and their distance in Å.
Sites, in units of the cell vectors:
Tm  0.0000  0.5790  0.9119  2 Pt 2.79
Pb  0.5000  0.9359  0.7848  1 Pt 3.22, 8 Tm 3.23-3.57, 1 Pb 3.31
Pb  0.5000  0.1412  0.6321  1 Pt 3.22, 8 Tm 3.23-3.59, 1 Pb 3.37
Tm  0.0000  0.6890  0.6890  4 Pt 2.96
Pb  0.5000  0.6321  0.1412  1 Pt 3.22, 8 Tm 3.23-3.59, 1 Pb 3.37
Tm  0.0000  0.4210  0.0881  2 Pt 2.79
Tm  0.0000  0.3712  0.6288  4 Pt 2.96
Tm  0.0000  0.6288  0.3712  4 Pt 2.96
Tm  0.0000  0.9119  0.5790  2 Pt 2.79
Tm  0.0000  0.0000  0.0000  8 Pb 3.26, 2 Tm 3.51
Pb  0.5000  0.2152  0.0641  1 Pt 3.22, 8 Tm 3.23-3.57, 1 Pb 3.31
Pb  0.5000  0.8588  0.3679  1 Pt 3.22, 8 Tm 3.23-3.59, 1 Pb 3.37
Tm  0.0000  0.0881  0.4210  2 Pt 2.79
Tm  0.0000  0.1604  0.8396  8 Pb 3.26-3.36, 1 Tm 3.51
Pt  0.5000  0.4530  0.2528  6 Tm 2.79-2.96, 1 Pb 3.10
Pb  0.5000  0.0641  0.2152  1 Pt 3.22, 8 Tm 3.23-3.57, 1 Pb 3.31
Pb  0.5000  0.7848  0.9359  1 Pt 3.22, 8 Tm 3.23-3.57, 1 Pb 3.31
Tm  0.0000  0.3110  0.3110  4 Pt 2.96
Pt  0.5000  0.2528  0.4530  6 Tm 2.79-2.96, 1 Pb 3.10
Tm  0.0000  0.8396  0.1604  8 Pb 3.26-3.36, 1 Tm 3.51
Pb  0.5000  0.3679  0.8588  1 Pt 3.22, 8 Tm 3.23-3.59, 1 Pb 3.37
Pt  0.5000  0.5470  0.7472  6 Tm 2.79-2.96, 1 Pb 3.10
Pt  0.5000  0.7472  0.5470  6 Tm 2.79-2.96, 1 Pb 3.10
Pb  0.5000  0.5000  0.5000  4 Pt 3.10, 8 Tm 3.38-3.39

- DFT formation energy: -1605 kJ/mol of formula units

***

Computed, not measured: a relaxed structure of Er4ZrCu5 at the PBE level of DFT.

Cell lengths 3.3909, 3.3909, 17.1256 Å; angles 90.00, 90.00, 90.00 degrees
Last column: nearest neighbours and their distance in Å.
Sites, in units of the cell vectors:
Er  0.0000  0.0000  0.6022  8 Cu 2.97
Er  0.0000  0.0000  0.8055  8 Cu 2.96-3.01
Cu  0.5000  0.5000  0.2959  8 Er 2.96-2.97
Cu  0.5000  0.5000  0.9115  4 Zr 2.84, 4 Er 3.01, 1 Cu 3.03
Zr  0.0000  0.0000  0.0000  8 Cu 2.84
Cu  0.5000  0.5000  0.5000  8 Er 2.97
Cu  0.5000  0.5000  0.7041  8 Er 2.96-2.97
Cu  0.5000  0.5000  0.0885  4 Zr 2.84, 4 Er 3.01, 1 Cu 3.03
Er  0.0000  0.0000  0.1945  8 Cu 2.96-3.01
Er  0.0000  0.0000  0.3978  8 Cu 2.97

- DFT formation energy: -227 kJ/mol of formula units

***

Computed, not measured: a relaxed structure of TcHSe at the PBE level of DFT.

Cell lengths 4.8980, 6.6531, 9.1022 Å; angles 71.77, 75.82, 82.60 degrees
Last column: nearest neighbours and their distance in Å.
Sites, in units of the cell vectors:
H  0.6985  0.3914  0.3026  1 H 1.68, 2 Tc 1.77-1.82
Tc  0.0363  0.3198  0.7556  1 H 1.99
Tc  0.9508  0.6683  0.7341  2 H 1.79-1.80
Se  0.4203  0.8610  0.2295  3 Tc 2.43-2.51
Se  0.8052  0.8484  0.4907  4 Tc 2.40-2.57, 2 H 2.60-2.64
Se  0.9620  0.1953  0.0578  4 Tc 2.44-2.56, 1 H 2.63
Se  0.5433  0.2075  0.7683  3 Tc 2.52-2.58, 2 H 2.74-2.79
Tc  0.5798  0.1491  0.2931  2 H 1.78-1.82
Tc  0.0697  0.3932  0.2330  3 H 1.73-1.84
H  0.4357  0.3355  0.1393  2 Tc 1.78-1.84
H  0.0679  0.0108  0.7777  1 Tc 1.72
Se  0.1948  0.2590  0.4888  3 Tc 2.42-2.50, 3 H 2.47-2.70
H  0.3156  0.6944  0.6349  2 Tc 1.80
Se  0.0994  0.6864  0.9749  2 H 2.35-2.52, 4 Tc 2.45-2.55
H  0.6119  0.7352  0.8432  2 Tc 1.79-1.81
Tc  0.3910  0.8953  0.7110  3 H 1.72-1.81
Tc  0.9326  0.8066  0.2112  1 H 1.83
H  0.8849  0.5428  0.3544  1 H 1.68, 2 Tc 1.73-1.83

- Final energy: -5.673 eV/atom